1.
VASP calculation (GGA-PBE) on crystalline PmTm12Th7 at its relaxed geometry.

abc: 8.6557 8.6557 8.6557
angles: 86.51 86.51 86.51
Element x y z (fractional)
Pm  0.0000  0.0000  0.0000
Tm  0.1328  0.4966  0.6235
Tm  0.1433  0.7381  0.2773
Tm  0.2619  0.7227  0.8567
Tm  0.2773  0.1433  0.7381
Tm  0.3765  0.8672  0.5034
Tm  0.4966  0.6235  0.1328
Tm  0.5034  0.3765  0.8672
Tm  0.6235  0.1328  0.4966
Tm  0.7227  0.8567  0.2619
Tm  0.7381  0.2773  0.1433
Tm  0.8567  0.2619  0.7227
Tm  0.8672  0.5034  0.3765
Th  0.0775  0.1562  0.3934
Th  0.1562  0.3934  0.0775
Th  0.3934  0.0775  0.1562
Th  0.5000  0.5000  0.5000
Th  0.6066  0.9225  0.8438
Th  0.8438  0.6066  0.9225
Th  0.9225  0.8438  0.6066

Summary:
- symmetry = R-3
- E (eV/cell) = -104.95

2.
VASP calculation (GGA-PBE) on crystalline BaMg2Zn at its relaxed geometry.

abc: 3.8366 3.8366 7.7948
angles: 90.00 90.00 90.00
Element x y z (fractional)
Ba  0.0000  0.0000  0.0000
Mg  0.0000  0.0000  0.5430
Mg  0.5000  0.5000  0.3360
Zn  0.5000  0.5000  0.7099

Summary:
- symmetry = P4mm
- E (eV/cell) = -6.46

3.
VASP calculation (GGA-PBE) on crystalline HoSbTe at its relaxed geometry.

abc: 9.8055 9.8055 9.8055
angles: 156.58 148.44 39.68
Element x y z (fractional)
Ho  0.1536  0.1536  0.0000
Ho  0.8464  0.8464  0.0000
Sb  0.2506  0.0000  0.2506
Sb  0.7494  0.0000  0.7494
Te  0.3199  0.3199  0.0000
Te  0.6801  0.6801  0.0000

Summary:
- raw formation energy (eV/atom) = -0.56
- symmetry = Immm

4.
VASP calculation (GGA-PBE) on crystalline CaZnPb at its relaxed geometry.

abc: 5.9454 5.9454 6.4718
angles: 90.00 90.00 135.69
Element x y z (fractional)
Ca  0.1935  0.8065  0.7500
Ca  0.8065  0.1935  0.2500
Zn  0.1174  0.8826  0.2500
Zn  0.8826  0.1174  0.7500
Pb  0.5000  0.5000  0.0000
Pb  0.5000  0.5000  0.5000

Summary:
- symmetry = Cmcm
- E (eV/cell) = -15.59

5.
VASP calculation (GGA-PBE) on crystalline BeTeW2 at its relaxed geometry.

abc: 3.8813 3.8813 4.3152
angles: 90.00 90.00 90.00
Element x y z (fractional)
Be  0.0000  0.0000  0.0000
Te  0.5000  0.5000  0.0000
W  0.0000  0.5000  0.5000
W  0.5000  0.0000  0.5000

Summary:
- raw formation energy (eV/atom) = 0.95
- symmetry = P4/mmm
- energy relative to the lowest polymorph listed for this composition (meV per atom) = 641

6.
VASP calculation (GGA-PBE) on crystalline ErTlAgPd at its relaxed geometry.

abc: 4.8946 4.8946 4.8946
angles: 60.00 60.00 60.00
Element x y z (fractional)
Er  0.0000  0.0000  0.0000
Tl  0.5000  0.5000  0.5000
Ag  0.7500  0.7500  0.7500
Pd  0.2500  0.2500  0.2500

Summary:
- symmetry = F-43m
- E (eV/cell) = -16.63

| no. | V (Å³/atom) |
| --- | --- |
| 1 | 32.252 |
| 2 | 28.684 |
| 3 | 32.637 |
| 4 | 26.634 |
| 5 | 16.251 |
| 6 | 20.729 |